# 1
K3Sm3GaS8 (PBE-GGA, optimized geometry); symmetry = No. 166; total moment = 0.000 μB per atom; D(E_F) = 1.137 states/eV/atom; formation energy from raw total energies = -1455 meV per atom
1.0
8.056 0.000 0.000
-4.028 6.981 -0.029
0.000 -4.624 7.548
S Sm K Ga
8 3 3 1
direct
0.216 0.432 0.690
0.757 0.974 0.690
0.265 0.529 0.294
0.243 0.026 0.310
0.784 0.568 0.310
0.216 0.974 0.690
0.735 0.471 0.706
0.784 0.026 0.310
0.500 0.000 0.500
0.500 0.500 0.500
0.000 0.500 0.500
0.000 0.000 0.000
0.500 0.500 0.000
0.000 0.500 0.000
0.000 0.000 0.500


# 2
KGa2SnS6 (PBE-GGA, optimized geometry); symmetry = No. 15; total moment = 0.102 μB per atom; D(E_F) = 0.059 states/eV/atom; formation energy from raw total energies = -521 meV per atom
1.0
7.746 0.443 0.459
2.976 8.688 -0.003
2.976 -0.325 8.682
K Sn S Ga
2 2 12 4
direct
0.250 0.831 0.169
0.750 0.169 0.831
0.750 0.830 0.170
0.250 0.170 0.830
0.167 0.663 0.572
0.678 0.828 0.931
0.822 0.069 0.172
0.333 0.428 0.337
0.833 0.337 0.428
0.935 0.389 0.887
0.667 0.572 0.663
0.322 0.172 0.069
0.178 0.931 0.828
0.435 0.887 0.389
0.565 0.113 0.611
0.065 0.611 0.113
0.094 0.387 0.243
0.406 0.757 0.613
0.906 0.613 0.757
0.594 0.243 0.387


# 3
KSr2GaS4 (PBE-GGA, optimized geometry); symmetry = No. 74; total moment = 0.000 μB per atom; formation energy from raw total energies = -1294 meV per atom
1.0
-2.873 -2.430 7.505
-0.184 -8.040 -2.408
7.151 4.400 -0.551
Ga Sr K S
2 4 2 8
direct
0.500 0.500 0.500
0.000 0.000 0.000
0.000 0.000 0.500
0.500 0.000 0.500
0.500 0.000 0.000
0.500 0.500 0.000
0.000 0.500 0.500
0.000 0.500 0.000
0.745 0.754 0.490
0.685 0.297 0.491
0.203 0.815 0.009
0.315 0.703 0.509
0.255 0.246 0.510
0.254 0.245 0.990
0.797 0.185 0.991
0.746 0.755 0.010